Entry from Alexandria: a PBEsol-optimized structure of Ca2TePb (SCAN).

The structure belongs to space group F-43m (No. 216); the cell edges are 7.805, 7.805 and 7.805 Å and the angles 90.00°, 90.00° and 90.00°. Symmetry generates all atoms from Ca at (0.000, 0.000, 0.000), Ca at (0.250, 0.250, 0.250), Te at (0.000, 0.000, 0.500) and Pb at (0.250, 0.250, 0.750).

The calculation puts the density of states at the Fermi level at 13.5 states/eV per cell. Its polymorph energy (0 for the lowest one) is 592 meV per atom. The calculation puts the spin magnetization at 0.000 μB/atom. The value obtained for the density is 5.80 g/cm³.


Entry from Alexandria: a PBEsol-optimized structure of Ca2TePb (SCAN).

The structure belongs to space group P4/mmm (No. 123); the cell edges are 5.460, 5.460 and 3.886 Å and the angles 90.00°, 90.00° and 90.00°. Symmetry generates all atoms from Ca at (0.000, 0.500, 0.000), Te at (0.000, 0.000, 0.500) and Pb at (0.500, 0.500, 0.500).

The calculation puts the density of states at the Fermi level at 2.0 states/eV per cell. Its polymorph energy (0 for the lowest one) is 0 meV per atom. The calculation puts the spin magnetization at 0.000 μB/atom. The value obtained for the density is 5.95 g/cm³.


Entry from Alexandria: a PBEsol-optimized structure of CaTePb4 (SCAN).

The structure belongs to space group F-43m (No. 216); the cell edges are 9.033, 9.033 and 9.033 Å and the angles 90.00°, 90.00° and 90.00°. Symmetry generates all atoms from Ca at (0.000, 0.000, 0.000), Te at (0.250, 0.250, 0.250) and Pb at (0.126, 0.126, 0.626).

The calculation puts the density of states at the Fermi level at 15.3 states/eV per cell. The calculation puts the spin magnetization at 0.000 μB/atom. The total DFT energy (no corrections) comes out at -1403.9 eV/cell. The value obtained for the density is 8.98 g/cm³.


Entry from Alexandria: a PBEsol-optimized structure of CaTe2Pb (SCAN).

The structure belongs to space group I-42d (No. 122); the cell edges are 6.989, 6.989 and 14.562 Å and the angles 90.00°, 90.00° and 90.00°. Symmetry generates all atoms from Ca at (0.000, 0.000, 0.000), Te at (0.241, 0.250, 0.125) and Pb at (0.000, 0.000, 0.500).

The calculation puts the spin magnetization at 0.000 μB/atom. The total DFT energy (no corrections) comes out at -653.4 eV/cell. The value obtained for the density is 4.69 g/cm³.


Entry from Alexandria: a PBEsol-optimized structure of CaTe2Pb (SCAN).

The structure belongs to space group P4/mmm (No. 123); the cell edges are 4.507, 4.507 and 6.380 Å and the angles 90.00°, 90.00° and 90.00°. Symmetry generates all atoms from Ca at (0.000, 0.000, 0.000), Te at (0.000, 0.000, 0.500), Te at (0.500, 0.500, 0.000) and Pb at (0.500, 0.500, 0.500).

The calculation puts the spin magnetization at 0.000 μB/atom. The total DFT energy (no corrections) comes out at -164.4 eV/cell. The value obtained for the density is 6.44 g/cm³.


Entry from Alexandria: a PBEsol-optimized structure of CaTlPb2 (SCAN).

The structure belongs to space group Pmm2 (No. 25); the cell edges are 3.669, 5.532 and 5.625 Å and the angles 90.00°, 90.00° and 90.00°. Symmetry generates all atoms from Ca at (0.000, 0.000, 0.000), Tl at (0.000, 0.500, 0.621), Pb at (0.500, 0.000, 0.497) and Pb at (0.500, 0.500, 0.126).

The formation energy comes out at -349 meV per atom. The calculation puts the density of states at the Fermi level at 1.8 states/eV per cell. The calculation puts the spin magnetization at 0.000 μB/atom. The value obtained for the density is 9.58 g/cm³.


Entry from Alexandria: a PBEsol-optimized structure of CaTlPb2 (SCAN).

The structure belongs to space group F-43m (No. 216); the cell edges are 7.738, 7.738 and 7.738 Å and the angles 90.00°, 90.00° and 90.00°. Symmetry generates all atoms from Ca at (0.000, 0.000, 0.000), Tl at (0.250, 0.250, 0.250), Pb at (0.000, 0.000, 0.500) and Pb at (0.250, 0.250, 0.750).

The formation energy comes out at -302 meV per atom. The calculation puts the density of states at the Fermi level at 10.3 states/eV per cell. The calculation puts the spin magnetization at 0.000 μB/atom. The value obtained for the density is 9.44 g/cm³.


Entry from Alexandria: a PBEsol-optimized structure of CaTlPb2 (SCAN).

The structure belongs to space group Pmmm (No. 47); the cell edges are 3.586, 4.789 and 6.686 Å and the angles 90.00°, 90.00° and 90.00°. Symmetry generates all atoms from Ca at (0.000, 0.000, 0.000), Tl at (0.000, 0.000, 0.500) and Pb at (0.500, 0.500, 0.246).

The formation energy comes out at -342 meV per atom. The calculation puts the density of states at the Fermi level at 1.6 states/eV per cell. The calculation puts the spin magnetization at 0.000 μB/atom. The value obtained for the density is 9.53 g/cm³.


Entry from Alexandria: a PBEsol-optimized structure of CaTlPb (SCAN).

The structure belongs to space group F-43m (No. 216); the cell edges are 7.247, 7.247 and 7.247 Å and the angles 90.00°, 90.00° and 90.00°. Symmetry generates all atoms from Ca at (0.000, 0.000, 0.000), Tl at (0.250, 0.250, 0.750) and Pb at (0.250, 0.250, 0.250).

The formation energy comes out at -235 meV per atom. The calculation puts the density of states at the Fermi level at 6.4 states/eV per cell. Its polymorph energy (0 for the lowest one) is 214 meV per atom. The calculation puts the spin magnetization at 0.000 μB/atom. The value obtained for the density is 7.88 g/cm³.


Entry from Alexandria: a PBEsol-optimized structure of CaTlPb2 (SCAN).

The structure belongs to space group Cm (No. 8); the cell edges are 11.436, 3.699 and 5.615 Å and the angles 90.00°, 105.39° and 90.00°. Symmetry generates all atoms from Ca at (0.000, 0.000, 0.000), Tl at (0.251, 0.000, 0.760), Pb at (0.007, 0.500, 0.505) and Pb at (0.257, 0.500, 0.272).

The formation energy comes out at -329 meV per atom. The calculation puts the density of states at the Fermi level at 3.8 states/eV per cell. The calculation puts the spin magnetization at 0.000 μB/atom. The value obtained for the density is 9.56 g/cm³.


Entry from Alexandria: a PBEsol-optimized structure of CaTlPb2 (SCAN).

The structure belongs to space group Cmmm (No. 65); the cell edges are 6.889, 9.202 and 3.590 Å and the angles 90.00°, 90.00° and 90.00°. Symmetry generates all atoms from Ca at (0.000, 0.000, 0.000), Tl at (0.000, 0.500, 0.000) and Pb at (0.250, 0.250, 0.500).

The formation energy comes out at -362 meV per atom. The calculation puts the density of states at the Fermi level at 4.2 states/eV per cell. The calculation puts the spin magnetization at 0.000 μB/atom. The value obtained for the density is 9.62 g/cm³.


Entry from Alexandria: a PBEsol-optimized structure of CaTlPb (SCAN).

The structure belongs to space group P3m1 (No. 156); the cell edges are 5.1429, 5.1429 and 3.7409 Å and the angles 90.00°, 90.00° and 120.00°. Symmetry generates all atoms from Ca at (0.0000, 0.0000, 0.0000), Tl at (0.3333, 0.6667, 0.6698) and Pb at (0.6667, 0.3333, 0.3875).

The formation energy comes out at -449 meV per atom. The calculation puts the density of states at the Fermi level at 1.2 states/eV per cell. Its polymorph energy (0 for the lowest one) is 0 meV per atom. The calculation puts the spin magnetization at 0.000 μB/atom. The value obtained for the density is 8.75 g/cm³.


Entry from Alexandria: a PBEsol-optimized structure of CaTlPb2 (SCAN).

The structure belongs to space group P4mm (No. 99); the cell edges are 4.053, 4.053 and 6.981 Å and the angles 90.00°, 90.00° and 90.00°. Symmetry generates all atoms from Ca at (0.000, 0.000, 0.000), Tl at (0.500, 0.500, 0.744), Pb at (0.000, 0.000, 0.503) and Pb at (0.500, 0.500, 0.268).

The formation energy comes out at -313 meV per atom. The calculation puts the density of states at the Fermi level at 2.1 states/eV per cell. The calculation puts the spin magnetization at 0.000 μB/atom. The value obtained for the density is 9.54 g/cm³.


Entry from Alexandria: a PBEsol-optimized structure of CaTlPb2 (SCAN).

The structure belongs to space group I-4m2 (No. 119); the cell edges are 4.778, 4.778 and 9.836 Å and the angles 90.00°, 90.00° and 90.00°. Symmetry generates all atoms from Ca at (0.000, 0.000, 0.000), Tl at (0.000, 0.500, 0.750), Pb at (0.000, 0.000, 0.500) and Pb at (0.000, 0.500, 0.250).

The formation energy comes out at -379 meV per atom. The calculation puts the density of states at the Fermi level at 3.5 states/eV per cell. The calculation puts the spin magnetization at 0.000 μB/atom. The value obtained for the density is 9.75 g/cm³.


Entry from Alexandria: a PBEsol-optimized structure of CaTlPb2 (SCAN).

The structure belongs to space group I4/mmm (No. 139); the cell edges are 4.726, 4.726 and 10.055 Å and the angles 90.00°, 90.00° and 90.00°. Symmetry generates all atoms from Ca at (0.000, 0.000, 0.000), Tl at (0.000, 0.000, 0.500) and Pb at (0.000, 0.500, 0.250).

The formation energy comes out at -402 meV per atom. The calculation puts the density of states at the Fermi level at 3.3 states/eV per cell. The calculation puts the spin magnetization at 0.000 μB/atom. The value obtained for the density is 9.74 g/cm³.